[1]
A PBEsol-optimized structure of SmTmO3. Source: Alexandria, functional meta-GGA SCAN.

Cell lengths 5.6492, 5.9132, 8.2676 Å; angles 90.00, 90.00, 90.00 degrees
Closest atoms and distances in Å follow each position.
Fractional positions:
Sm: 0.9789 0.0571 0.2500  4 O 2.28-2.41
Sm: 0.4789 0.4429 0.7500  4 O 2.28-2.41
Sm: 0.5211 0.5571 0.2500  4 O 2.28-2.41
Sm: 0.0211 0.9429 0.7500  4 O 2.28-2.41
Tm: 0.5000 0.0000 0.0000  6 O 2.18-2.25
Tm: 0.5000 0.0000 0.5000  6 O 2.18-2.25
Tm: 0.0000 0.5000 0.0000  6 O 2.18-2.25
Tm: 0.0000 0.5000 0.5000  6 O 2.18-2.25
O: 0.6391 0.0660 0.7500  2 Tm 2.25, 2 Sm 2.28-2.41
O: 0.1910 0.1939 0.5744  2 Tm 2.18-2.20, 1 Sm 2.29
O: 0.1910 0.1939 0.9256  2 Tm 2.18-2.20, 1 Sm 2.29
O: 0.6910 0.3061 0.4256  2 Tm 2.18-2.20, 1 Sm 2.29
O: 0.6910 0.3061 0.0744  2 Tm 2.18-2.20, 1 Sm 2.29
O: 0.1391 0.4340 0.2500  2 Tm 2.25, 2 Sm 2.28-2.41
O: 0.8609 0.5660 0.7500  2 Tm 2.25, 2 Sm 2.28-2.41
O: 0.3090 0.6939 0.9256  2 Tm 2.18-2.20, 1 Sm 2.29
O: 0.3090 0.6939 0.5744  2 Tm 2.18-2.20, 1 Sm 2.29
O: 0.8090 0.8061 0.0744  2 Tm 2.18-2.20, 1 Sm 2.29
O: 0.8090 0.8061 0.4256  2 Tm 2.18-2.20, 1 Sm 2.29
O: 0.3609 0.9340 0.2500  2 Tm 2.25, 2 Sm 2.28-2.41

[2]
A PBEsol-optimized structure of SmVO3. Source: Alexandria, functional meta-GGA SCAN.

Cell lengths 5.3025, 5.5995, 7.6187 Å; angles 90.00, 90.00, 90.00 degrees
Closest atoms and distances in Å follow each position.
Fractional positions:
Sm: 0.9835 0.4369 0.7500  6 O 2.30-2.52
Sm: 0.0165 0.5631 0.2500  6 O 2.30-2.52
Sm: 0.4835 0.0631 0.2500  6 O 2.30-2.52
Sm: 0.5165 0.9369 0.7500  6 O 2.30-2.52
V: 0.0000 0.0000 0.5000  6 O 1.98-2.01
V: 0.5000 0.5000 0.5000  6 O 1.98-2.01
V: 0.0000 0.0000 0.0000  6 O 1.98-2.01
V: 0.5000 0.5000 0.0000  6 O 1.98-2.01
O: 0.3017 0.7976 0.4511  2 V 2.00-2.01
O: 0.6983 0.2024 0.5489  2 V 2.00-2.01
O: 0.8017 0.7024 0.5489  2 V 2.00-2.01
O: 0.1983 0.2976 0.4511  2 V 2.00-2.01
O: 0.8017 0.7024 0.9511  2 V 2.00-2.01
O: 0.1983 0.2976 0.0489  2 V 2.00-2.01
O: 0.3017 0.7976 0.0489  2 V 2.00-2.01
O: 0.6983 0.2024 0.9511  2 V 2.00-2.01
O: 0.9056 0.9716 0.2500  2 V 1.98
O: 0.0944 0.0284 0.7500  2 V 1.98
O: 0.4056 0.5284 0.7500  2 V 1.98
O: 0.5944 0.4716 0.2500  2 V 1.98

[3]
A PBEsol-optimized structure of Sm2V2O7. Source: Alexandria, functional meta-GGA SCAN.

Cell lengths 7.1305, 7.1305, 7.1305 Å; angles 60.00, 60.00, 60.00 degrees
Closest atoms and distances in Å follow each position.
Fractional positions:
Sm: 0.1250 0.6250 0.6250  2 O 2.18
Sm: 0.6250 0.6250 0.6250  2 O 2.18
Sm: 0.6250 0.6250 0.1250  2 O 2.18
Sm: 0.6250 0.1250 0.6250  2 O 2.18
V: 0.1250 0.6250 0.1250  6 O 1.93
V: 0.6250 0.1250 0.1250  6 O 1.93
V: 0.1250 0.1250 0.6250  6 O 1.93
V: 0.1250 0.1250 0.1250  6 O 1.93
O: 0.8005 0.8005 0.1995  2 V 1.93
O: 0.4495 0.0505 0.0505  2 V 1.93
O: 0.0505 0.4495 0.0505  2 V 1.93
O: 0.7500 0.7500 0.7500  4 Sm 2.18
O: 0.4495 0.0505 0.4495  2 V 1.93
O: 0.0505 0.0505 0.4495  2 V 1.93
O: 0.1995 0.8005 0.8005  2 V 1.93
O: 0.0505 0.4495 0.4495  2 V 1.93
O: 0.1995 0.8005 0.1995  2 V 1.93
O: 0.5000 0.5000 0.5000  4 Sm 2.18
O: 0.8005 0.1995 0.8005  2 V 1.93
O: 0.1995 0.1995 0.8005  2 V 1.93
O: 0.8005 0.1995 0.1995  2 V 1.93
O: 0.4495 0.4495 0.0505  2 V 1.93

[4]
A PBEsol-optimized structure of Sm2W3O12. Source: Alexandria, functional meta-GGA SCAN.

Cell lengths 6.8895, 6.8895, 11.4847 Å; angles 101.13, 101.13, 111.82 degrees
Closest atoms and distances in Å follow each position.
Fractional positions:
Sm: 0.9486 0.6956 0.4069  8 O 2.34-2.46
Sm: 0.6956 0.9486 0.9069  8 O 2.34-2.46
Sm: 0.3044 0.0514 0.0931  8 O 2.34-2.46
Sm: 0.0514 0.3044 0.5931  8 O 2.34-2.46
W: 0.7983 0.5117 0.0498  4 O 1.76-1.90
W: 0.5117 0.7983 0.5498  4 O 1.76-1.90
W: 0.8839 0.1161 0.2500  4 O 1.77-1.82
W: 0.1161 0.8839 0.7500  4 O 1.77-1.82
W: 0.4883 0.2017 0.4502  4 O 1.76-1.90
W: 0.2017 0.4883 0.9502  4 O 1.76-1.90
O: 0.8014 0.6600 0.1981  1 W 1.80
O: 0.9888 0.4037 0.2804  1 W 1.77
O: 0.9469 0.0269 0.1078  1 W 1.82
O: 0.6032 0.6682 0.4393  1 W 1.76
O: 0.6275 0.2257 0.0406  1 W 1.85
O: 0.3249 0.8990 0.4252  1 W 1.90
O: 0.6600 0.8014 0.6981  1 W 1.80
O: 0.1010 0.6751 0.0748  1 W 1.90
O: 0.7743 0.3725 0.4594  1 W 1.85
O: 0.3318 0.3968 0.0607  1 W 1.76
O: 0.9731 0.0531 0.3922  1 W 1.82
O: 0.4037 0.9888 0.7804  1 W 1.77
O: 0.5963 0.0112 0.2196  1 W 1.77
O: 0.0269 0.9469 0.6078  1 W 1.82
O: 0.6682 0.6032 0.9393  1 W 1.76
O: 0.2257 0.6275 0.5406  1 W 1.85
O: 0.8990 0.3249 0.9252  1 W 1.90
O: 0.3400 0.1986 0.3019  1 W 1.80
O: 0.6751 0.1010 0.5748  1 W 1.90
O: 0.3725 0.7743 0.9594  1 W 1.85
O: 0.3968 0.3318 0.5607  1 W 1.76
O: 0.0531 0.9731 0.8922  1 W 1.82
O: 0.0112 0.5963 0.7196  1 W 1.77
O: 0.1986 0.3400 0.8019  1 W 1.80

[5]
A PBEsol-optimized structure of Sm2WO6. Source: Alexandria, functional meta-GGA SCAN.

Cell lengths 5.4555, 9.7255, 9.7255 Å; angles 69.95, 77.49, 77.49 degrees
Closest atoms and distances in Å follow each position.
Fractional positions:
Sm: 0.6101 0.2887 0.0615  6 O 2.22-2.48
Sm: 0.1101 0.0615 0.2887  6 O 2.22-2.48
Sm: 0.7500 0.3770 0.6230  8 O 2.39-2.43
Sm: 0.7500 0.8896 0.1104  6 O 2.22-2.41
Sm: 0.2500 0.1104 0.8896  6 O 2.22-2.41
Sm: 0.2500 0.6230 0.3770  8 O 2.39-2.43
Sm: 0.8899 0.9385 0.7113  6 O 2.22-2.48
Sm: 0.3899 0.7113 0.9385  6 O 2.22-2.48
W: 0.9191 0.5030 0.1822  5 O 1.84-1.99
W: 0.4191 0.1822 0.5030  5 O 1.84-1.99
W: 0.5809 0.8178 0.4970  5 O 1.84-1.99
W: 0.0809 0.4970 0.8178  5 O 1.84-1.99
O: 0.9197 0.0810 0.1020  4 Sm 2.22-2.41
O: 0.4197 0.1020 0.0810  4 Sm 2.22-2.41
O: 0.7151 0.0384 0.4695  1 W 1.94
O: 0.8583 0.3131 0.2222  1 W 1.84
O: 0.2151 0.4695 0.0384  1 W 1.94
O: 0.3583 0.2222 0.3131  1 W 1.84
O: 0.6028 0.6217 0.1826  1 W 1.86
O: 0.1028 0.1826 0.6217  1 W 1.86
O: 0.9668 0.4630 0.3747  1 W 1.84
O: 0.5806 0.1511 0.6786  1 W 1.99
O: 0.4668 0.3747 0.4630  1 W 1.84
O: 0.0806 0.6786 0.1511  1 W 1.99
O: 0.9194 0.3214 0.8489  1 W 1.99
O: 0.5332 0.6253 0.5370  1 W 1.84
O: 0.4194 0.8489 0.3214  1 W 1.99
O: 0.0332 0.5370 0.6253  1 W 1.84
O: 0.8972 0.8174 0.3783  1 W 1.86
O: 0.3972 0.3783 0.8174  1 W 1.86
O: 0.6417 0.7778 0.6869  1 W 1.84
O: 0.7849 0.5305 0.9616  1 W 1.94
O: 0.1417 0.6869 0.7778  1 W 1.84
O: 0.2849 0.9616 0.5305  1 W 1.94
O: 0.5803 0.8980 0.9190  4 Sm 2.22-2.41
O: 0.0803 0.9190 0.8980  4 Sm 2.22-2.41

ΔE_f (raw) for every record listed, in sequence, given in eV/atom: -3.866 -3.298 -3.217 -2.820 -3.256.
Calculated volume for every record listed, in sequence, given in A^3/atom: 13.809 11.310 11.653 13.975 12.985.